A geometry-optimized NbS2O6 structure, computed with PBE-GGA.

POSCAR file:
```
NbS2O6
1.0
-4.0291 2.2871 1.0415
-4.4048 -6.8534 -1.9908
2.3292 -3.0680 5.4082
O Nb S
12 2 4
direct
0.2546 0.8195 0.1716 O
0.6370 0.8487 0.8879 O
0.8798 0.4485 0.7632 O
0.7454 0.1805 0.8284 O
0.1202 0.5515 0.2368 O
0.1202 0.9485 0.7368 O
0.3630 0.1513 0.1121 O
0.2546 0.6805 0.6716 O
0.8798 0.0515 0.2632 O
0.6370 0.6513 0.3879 O
0.7454 0.3195 0.3284 O
0.3630 0.3487 0.6121 O
0.0000 0.0000 0.0000 Nb
0.0000 0.5000 0.5000 Nb
0.3615 0.6440 0.1768 S
0.6385 0.1440 0.3232 S
0.6385 0.3560 0.8232 S
0.3615 0.8560 0.6768 S
```

Properties
total energy = -6.8122 eV per atom

A geometry-optimized Sm3NbS3O4 structure, computed with PBE-GGA.

POSCAR file:
```
Sm3NbS3O4
1.0
6.6907 0.0000 0.0000
0.0000 14.2113 0.0000
0.0000 0.0000 7.6893
S Nb O Sm
12 4 16 12
direct
0.0315 0.4916 0.5293 S
0.5020 0.2271 0.2386 S
0.4541 0.7988 0.2618 S
0.5315 0.0084 0.5293 S
0.9685 0.5084 0.0293 S
0.0020 0.2729 0.2386 S
0.9541 0.7012 0.2618 S
0.9980 0.7271 0.7386 S
0.0459 0.2988 0.7618 S
0.4685 0.9916 0.0293 S
0.5459 0.2012 0.7618 S
0.4980 0.7729 0.7386 S
0.8194 0.0742 0.7353 Nb
0.3194 0.4258 0.7353 Nb
0.6806 0.5742 0.2353 Nb
0.1806 0.9258 0.2353 Nb
0.1227 0.8575 0.0210 O
0.1265 0.8852 0.4706 O
0.3735 0.3852 0.9706 O
0.8735 0.1148 0.9706 O
0.3773 0.3575 0.5210 O
0.3671 0.5744 0.2351 O
0.3578 0.5626 0.7585 O
0.8773 0.1425 0.5210 O
0.6227 0.6425 0.0210 O
0.6422 0.4374 0.2585 O
0.1422 0.0626 0.2585 O
0.8671 0.9256 0.2351 O
0.1329 0.0744 0.7351 O
0.6329 0.4256 0.7351 O
0.8578 0.9374 0.7585 O
0.6265 0.6148 0.4706 O
0.2294 0.1714 0.5045 Sm
0.7171 0.3433 0.9944 Sm
0.7782 0.0822 0.2508 Sm
0.2829 0.6567 0.4944 Sm
0.2171 0.1567 0.9944 Sm
0.2782 0.4178 0.2508 Sm
0.7829 0.8433 0.4944 Sm
0.7294 0.3286 0.5045 Sm
0.7706 0.8286 0.0045 Sm
0.2218 0.9178 0.7508 Sm
0.2706 0.6714 0.0045 Sm
0.7218 0.5822 0.7508 Sm
```

Properties
total energy = -7.7668 eV per atom